PmDy12Ho7: relaxed, PBE-GGA.

Cell: 8.664 8.664 8.664 Å, 95.10 95.10 95.10°
Fractional positions:
Dy  0.146  0.413  0.476
Dy  0.318  0.189  0.750
Dy  0.189  0.750  0.318
Dy  0.476  0.146  0.413
Dy  0.811  0.250  0.682
Dy  0.750  0.318  0.189
Dy  0.854  0.587  0.524
Dy  0.250  0.682  0.811
Dy  0.682  0.811  0.250
Dy  0.413  0.476  0.146
Dy  0.524  0.854  0.587
Dy  0.587  0.524  0.854
Ho  0.017  0.081  0.351
Ho  0.649  0.983  0.919
Ho  0.351  0.017  0.081
Ho  0.983  0.919  0.649
Ho  0.500  0.500  0.500
Ho  0.919  0.649  0.983
Ho  0.081  0.351  0.017
Pm  0.000  0.000  0.000

Output
Size of the total moment, μB/cell: 0.000
Density of states at the Fermi level, states/eV/cell: 17.79
Density, g/cm3: 8.4
DFT total energy, eV/f.u.: -86.0
SG: No. 148
Formation energy from the elements, meV/atom: 301.2
Energy above the most stable polymorph in this dataset, meV/atom: 0